Density functional theory data (PBE) for a relaxed Na3Er3PaS8 crystal.

Its crystal system is trigonal. As for the magnetization: 1.04 μB/f.u. The density of states at the Fermi level comes out at 10.766 states/eV per cell. The total energy is -5.79 eV/atom. For the formation energy without anion corrections, the calculation gives -1.783 eV/atom.

It has space group R-3m (No. 166, hexagonal axes), with a = 7.9413 Å, b = 7.9413 Å, c = 20.1494 Å, α = 90.00°, β = 90.00° and γ = 120.00°. The asymmetric unit holds Na at (0.0000, 0.5000, 0.0000), Er at (0.0000, 0.5000, 0.5000), Pa at (0.0000, 0.0000, 0.5000), S at (0.0000, 0.0000, 0.2413) and S at (0.0008, 0.5004, 0.2402).